Entry 1:
Entry from Alexandria: an optimized crystal structure of ReBr2 (GGA-PBE).

Cell: 3.987 5.752 5.892 Å, 90.00 90.00 90.00°
Sites, in units of the cell vectors:
Br: 0.500 0.794 0.818
Br: 0.000 0.294 0.682
Br: 0.500 0.206 0.182
Br: 0.000 0.706 0.318
Re: 0.000 0.000 0.000
Re: 0.500 0.500 0.500

- formation energy (no corrections) (eV/atom) = 0.524
- final energy (Ry/atom) = -0.3484
- symmetry = Pnnm, No. 58


Entry 2:
Entry from Alexandria: an optimized crystal structure of Nd3MgGe2Pd9 (GGA-PBE).

Cell: 5.803 5.803 11.027 Å, 90.00 90.00 120.00°
Sites, in units of the cell vectors:
Pd: 0.162 0.838 0.317
Pd: 0.162 0.325 0.317
Pd: 0.000 0.500 0.000
Pd: 0.838 0.162 0.683
Pd: 0.675 0.838 0.317
Pd: 0.838 0.675 0.683
Pd: 0.325 0.162 0.683
Pd: 0.500 0.000 0.000
Pd: 0.500 0.500 0.000
Nd: 0.333 0.667 0.603
Nd: 0.000 0.000 0.000
Nd: 0.667 0.333 0.397
Mg: 0.000 0.000 0.500
Ge: 0.667 0.333 0.838
Ge: 0.333 0.667 0.162

- final energy (Ry/atom) = -0.3921
- formation energy (eV/atom) = -0.544
- symmetry = P-3m1, No. 164


Entry 3:
Entry from Alexandria: an optimized crystal structure of Re2Hg (GGA-PBE).

Cell: 5.114 5.114 5.114 Å, 147.30 135.52 56.29°
Sites, in units of the cell vectors:
Re: 0.315 0.315 0.000
Re: 0.685 0.685 0.000
Hg: 0.000 0.000 0.000

- final energy (Ry/atom) = -0.5682
- formation energy (eV/atom) = 0.668
- symmetry = Immm, No. 71


Entry 4:
Entry from Alexandria: an optimized crystal structure of PmZn9Pt2 (GGA-PBE).

Cell: 6.933 8.279 8.279 Å, 79.90 65.25 65.25°
Sites, in units of the cell vectors:
Pm: 0.250 0.500 0.500
Pm: 0.500 0.000 0.000
Pt: 0.875 0.250 0.250
Pt: 0.875 0.250 0.750
Pt: 0.875 0.750 0.250
Pt: 0.375 0.750 0.750
Zn: 0.595 0.085 0.328
Zn: 0.741 0.828 0.585
Zn: 0.009 0.915 0.672
Zn: 0.750 0.500 0.500
Zn: 0.077 0.915 0.328
Zn: 0.155 0.415 0.172
Zn: 0.077 0.328 0.915
Zn: 0.431 0.415 0.828
Zn: 0.595 0.328 0.085
Zn: 0.319 0.672 0.085
Zn: 0.431 0.828 0.415
Zn: 0.009 0.672 0.915
Zn: 0.155 0.172 0.415
Zn: 0.741 0.585 0.828
Zn: 0.000 0.000 0.000
Zn: 0.319 0.085 0.672
Zn: 0.673 0.585 0.172
Zn: 0.673 0.172 0.585

- final energy (Ry/atom) = -0.2039
- formation energy (eV/atom) = -0.416
- symmetry = I4_1/amd, No. 141


Entry 5:
Entry from Alexandria: an optimized crystal structure of BaGa2HgPt (GGA-PBE).

Cell: 4.935 4.935 5.370 Å, 90.00 90.00 90.00°
Sites, in units of the cell vectors:
Hg: 0.000 0.000 0.500
Pt: 0.000 0.000 0.000
Ga: 0.000 0.500 0.000
Ga: 0.500 0.000 0.000
Ba: 0.500 0.500 0.500

- final energy (Ry/atom) = -0.2422
- formation energy (eV/atom) = -0.432
- symmetry = P4/mmm, No. 123


Entry 6:
Entry from Alexandria: an optimized crystal structure of Li2YW (GGA-PBE).

Cell: 5.247 5.247 5.247 Å, 133.82 133.82 67.36°
Last column: magnetic moment on the atom in μB.
Sites, in units of the cell vectors:
Li: 0.000 0.000 0.000  0.00
Li: 0.250 0.750 0.500  0.00
Y: 0.750 0.250 0.500  0.00
W: 0.500 0.500 0.000  0.23

- final energy (Ry/atom) = -0.3714
- formation energy (eV/atom) = 0.758
- symmetry = I-4m2, No. 119


Entry 7:
Entry from Alexandria: an optimized crystal structure of TlZnB (GGA-PBE).

Cell: 5.910 3.848 10.648 Å, 90.00 90.00 90.00°
Sites, in units of the cell vectors:
Zn: 0.500 0.250 0.075
Zn: 0.000 0.250 0.425
Zn: 0.500 0.750 0.925
Zn: 0.000 0.750 0.575
Tl: 0.500 0.750 0.649
Tl: 0.500 0.250 0.351
Tl: 0.000 0.750 0.851
Tl: 0.000 0.250 0.149
B: 0.500 0.250 0.851
B: 0.000 0.250 0.649
B: 0.000 0.750 0.351
B: 0.500 0.750 0.149

- final energy (Ry/atom) = -0.1897
- formation energy (eV/atom) = 0.859
- symmetry = Imma, No. 74


Entry 8:
Entry from Alexandria: an optimized crystal structure of NaLiTl6 (GGA-PBE).

Cell: 6.694 6.694 6.694 Å, 109.02 109.02 109.02°
Sites, in units of the cell vectors:
Tl: 0.249 0.728 0.249
Tl: 0.728 0.249 0.249
Tl: 0.751 0.751 0.272
Tl: 0.751 0.272 0.751
Tl: 0.272 0.751 0.751
Tl: 0.249 0.249 0.728
Na: 0.000 0.000 0.000
Li: 0.500 0.500 0.500

- final energy (Ry/atom) = -0.1627
- formation energy (eV/atom) = -0.035
- symmetry = R-3m, No. 166


Entry 9:
Entry from Alexandria: an optimized crystal structure of La3RuC (GGA-PBE).

Cell: 5.062 5.062 5.062 Å, 90.00 90.00 90.00°
Sites, in units of the cell vectors:
Ru: 0.500 0.500 0.500
La: 0.500 0.000 0.000
La: 0.000 0.000 0.500
La: 0.000 0.500 0.000
C: 0.000 0.000 0.000

- final energy (Ry/atom) = -0.4749
- formation energy (eV/atom) = 0.195
- symmetry = Pm-3m, No. 221


Entry 10:
Entry from Alexandria: an optimized crystal structure of Cs2TlSb2Pb (GGA-PBE).

Cell: 7.923 7.910 10.152 Å, 112.93 112.97 90.00°
Sites, in units of the cell vectors:
Cs: 0.592 0.832 0.663
Cs: 0.408 0.168 0.337
Cs: 0.929 0.668 0.337
Cs: 0.071 0.332 0.663
Tl: 0.000 0.250 0.000
Tl: 0.000 0.750 0.000
Sb: 0.838 0.092 0.184
Sb: 0.162 0.908 0.816
Sb: 0.346 0.592 0.184
Sb: 0.654 0.408 0.816
Pb: 0.500 0.250 0.000
Pb: 0.500 0.750 0.000

- formation energy (no corrections) (eV/atom) = -0.320
- final energy (Ry/atom) = -0.2198
- symmetry = Ibam, No. 72


Entry 11:
Entry from Alexandria: an optimized crystal structure of KIn2BiCl (GGA-PBE).

Cell: 6.656 6.001 6.656 Å, 90.00 90.00 90.00°
Last column: magnetic moment on the atom in μB.
Sites, in units of the cell vectors:
Cl: 0.500 0.500 0.500  0.04
K: 0.000 0.000 0.000  0.02
In: 0.500 0.000 0.000  -0.03
In: 0.000 0.000 0.500  -0.02
Bi: 0.000 0.500 0.000  0.65

- formation energy (no corrections) (eV/atom) = 0.594
- final energy (Ry/atom) = -0.1372
- symmetry = P4/mmm, No. 123


Entry 12:
Entry from Alexandria: an optimized crystal structure of Sr4TlHg3 (GGA-PBE).

Cell: 5.717 5.717 8.988 Å, 108.47 108.54 90.00°
Sites, in units of the cell vectors:
Sr: 0.126 0.126 0.253
Sr: 0.374 0.374 0.747
Sr: 0.874 0.874 0.747
Sr: 0.626 0.626 0.253
Hg: 0.252 0.752 0.504
Hg: 0.000 0.500 0.000
Hg: 0.748 0.248 0.496
Tl: 0.500 0.000 0.000

- final energy (Ry/atom) = -0.1294
- formation energy (eV/atom) = -0.511
- symmetry = C2/m, No. 12


Entry 13:
Entry from Alexandria: an optimized crystal structure of ZrVTc (GGA-PBE).

Cell: 5.225 5.225 5.225 Å, 88.99 60.50 119.34°
Sites, in units of the cell vectors:
Tc: 0.000 0.500 0.500
Tc: 0.500 0.500 0.000
V: 0.000 0.500 0.000
V: 0.500 0.000 0.000
Zr: 0.750 0.874 0.376
Zr: 0.250 0.126 0.624

- final energy (Ry/atom) = -0.7107
- formation energy (eV/atom) = -0.326
- symmetry = Imma, No. 74


Entry 14:
Entry from Alexandria: an optimized crystal structure of LiTmHg5 (GGA-PBE).

Cell: 5.280 5.280 6.477 Å, 90.00 90.00 104.10°
Sites, in units of the cell vectors:
Hg: 0.500 0.000 0.756
Hg: 0.500 0.000 0.244
Hg: 0.000 0.500 0.756
Hg: 0.000 0.500 0.244
Hg: 0.000 0.000 0.500
Tm: 0.000 0.000 0.000
Li: 0.500 0.500 0.500

- final energy (Ry/atom) = -0.0983
- formation energy (eV/atom) = -0.210
- symmetry = Cmmm, No. 65


Entry 15:
Entry from Alexandria: an optimized crystal structure of Li2AlMo (GGA-PBE).

Cell: 6.980 6.980 5.559 Å, 51.11 51.11 90.00°
Last column: magnetic moment on the atom in μB.
Sites, in units of the cell vectors:
Al: 0.250 0.750 0.500  0.00
Al: 0.500 0.500 0.000  0.00
Li: 0.137 0.625 0.250  0.01
Li: 0.375 0.387 0.750  0.02
Li: 0.875 0.863 0.750  0.01
Li: 0.613 0.125 0.250  0.02
Mo: 0.000 0.000 0.000  0.78
Mo: 0.750 0.250 0.500  0.78

- final energy (Ry/atom) = -0.2905
- formation energy (eV/atom) = 0.648
- symmetry = I-42d, No. 122


Entry 16:
Entry from Alexandria: an optimized crystal structure of OsSN2F (GGA-PBE).

Cell: 3.701 3.701 4.043 Å, 90.00 90.00 90.00°
Sites, in units of the cell vectors:
F: 0.000 0.000 0.000
N: 0.000 0.500 0.000
N: 0.500 0.000 0.000
S: 0.000 0.000 0.500
Os: 0.500 0.500 0.500

- formation energy (no corrections) (eV/atom) = 2.546
- final energy (Ry/atom) = -0.3109
- symmetry = P4/mmm, No. 123


Entry 17:
Entry from Alexandria: an optimized crystal structure of MnCdAgCl6 (GGA-PBE).

Cell: 6.486 6.486 11.859 Å, 90.00 90.00 120.00°
Last column: magnetic moment on the atom in μB.
Sites, in units of the cell vectors:
Cl: 0.365 0.335 0.368  0.00
Cl: 0.665 0.635 0.132  0.00
Cl: 0.665 0.030 0.368  0.00
Cl: 0.970 0.335 0.132  0.00
Cl: 0.335 0.970 0.632  0.00
Cl: 0.365 0.030 0.132  0.00
Cl: 0.970 0.635 0.368  0.00
Cl: 0.335 0.365 0.868  0.00
Cl: 0.030 0.365 0.632  0.00
Cl: 0.635 0.665 0.632  0.00
Cl: 0.635 0.970 0.868  0.00
Cl: 0.030 0.665 0.868  0.00
Mn: 0.333 0.667 0.750  3.79
Mn: 0.667 0.333 0.250  3.79
Cd: 0.333 0.667 0.250  0.01
Cd: 0.667 0.333 0.750  0.01
Ag: 0.000 0.000 0.500  -0.06
Ag: 0.000 0.000 0.000  -0.06

- formation energy (no corrections) (eV/atom) = -0.861
- final energy (Ry/atom) = -0.2594
- symmetry = P-31c, No. 163


Entry 18:
Entry from Alexandria: an optimized crystal structure of Ho3AlRh (GGA-PBE).

Cell: 5.086 7.543 6.754 Å, 99.00 90.00 90.00°
Sites, in units of the cell vectors:
Al: 0.043 0.107 0.965
Al: 0.043 0.774 0.379
Ho: 0.543 0.943 0.661
Ho: 0.043 0.193 0.469
Ho: 0.043 0.669 0.892
Ho: 0.543 0.514 0.406
Ho: 0.543 0.931 0.166
Ho: 0.543 0.331 0.933
Rh: 0.543 0.649 0.815
Rh: 0.043 0.433 0.192

- final energy (Ry/atom) = -0.3953
- formation energy (eV/atom) = -0.413
- symmetry = Pm, No. 6


Entry 19:
Entry from Alexandria: an optimized crystal structure of Na3Tl3SbS8 (GGA-PBE).

Cell: 7.829 7.838 8.214 Å, 118.53 90.00 119.96°
Sites, in units of the cell vectors:
S: 0.760 0.991 0.723
S: 0.768 0.537 0.277
S: 0.240 0.009 0.277
S: 0.741 0.483 0.723
S: 0.232 0.463 0.723
S: 0.259 0.517 0.277
S: 0.768 0.009 0.277
S: 0.232 0.991 0.723
Na: 0.000 0.000 0.000
Na: 0.500 0.500 0.000
Na: 0.000 0.500 0.000
Tl: 0.500 0.000 0.500
Tl: 0.000 0.500 0.500
Tl: 0.500 0.500 0.500
Sb: 0.000 0.000 0.500

- formation energy (no corrections) (eV/atom) = -0.434
- final energy (Ry/atom) = -0.2680
- symmetry = C2/m, No. 12


Entry 20:
Entry from Alexandria: an optimized crystal structure of PuCuPO (GGA-PBE).

Cell: 3.805 3.805 8.166 Å, 90.00 90.00 90.00°
Last column: magnetic moment on the atom in μB.
Sites, in units of the cell vectors:
Pu: 0.000 0.500 0.344  4.61
Pu: 0.500 0.000 0.656  4.61
Cu: 0.000 0.000 0.000  -0.10
Cu: 0.500 0.500 0.000  -0.10
P: 0.000 0.500 0.828  -0.15
P: 0.500 0.000 0.172  -0.15
O: 0.500 0.500 0.500  -0.14
O: 0.000 0.000 0.500  -0.14

- formation energy (no corrections) (eV/atom) = -1.601
- final energy (Ry/atom) = -0.6468
- symmetry = P4/nmm, No. 129